## MgIn3Re (GGA-PBE)

Data for a relaxed MgIn3Re crystal.

Cell lengths 5.245, 5.245, 5.245 Å; angles 90.00, 90.00, 90.00 degrees
Element x y z (fractional)
Mg 0.000 0.000 0.000
In 0.000 0.500 0.500
In 0.500 0.000 0.500
In 0.500 0.500 0.000
Re 0.500 0.500 0.500

Results
**DOS(E_F)**: 4.4 states/eV per cell
**Relative energy among the computed polymorphs**: 0.000 kcal/mol of atoms
**Total DFT energy (no corrections)**: -3.92 eV/atom
**Magnetic moment**: 0.125 μB/atom
**Volume**: 144 Å³ per cell